1.
Material: SmNbI2O2
Method: DFT, PBE-GGA
State: relaxed

The volume comes out at 136.2 Å³/cell.

Geometry as POSCAR:
```
SmNbI2O2
1.0
3.8491 0.0000 0.0000
0.0000 3.8491 0.0000
0.0000 0.0000 9.1909
Sm Nb I O
1 1 2 2
Cartesian
0.0000 0.0000 0.0000 Sm
1.9246 1.9246 6.9506 Nb
0.0000 0.0000 5.1933 I
1.9246 1.9246 1.9320 I
0.0000 1.9246 7.9578 O
1.9246 0.0000 7.9578 O
```

2.
Material: Zr3CdB4
Method: DFT, PBE-GGA
State: relaxed

The volume comes out at 105.2 Å³/cell.

Geometry as POSCAR:
```
Zr3CdB4
1.0
3.1903 0.0000 0.0000
0.0000 3.5088 0.0000
0.0000 0.0000 9.3972
Zr Cd B
3 1 4
Cartesian
0.0000 0.0000 0.0000 Zr
1.5951 0.0000 2.7528 Zr
1.5951 0.0000 6.6444 Zr
0.0000 1.7544 4.6986 Cd
0.0000 1.7544 1.8125 B
0.0000 1.7544 7.5847 B
1.5951 1.7544 0.9601 B
1.5951 1.7544 8.4371 B
```

3.
Material: RbCoCuRe
Method: DFT, PBE-GGA
State: relaxed

The volume comes out at 64.7 Å³/cell. The energy above the lowest structure with this stoichiometry is 0.096 eV per atom.

Geometry as POSCAR:
```
RbCoCuRe
1.0
0.0000 3.1862 3.1862
3.1862 0.0000 3.1862
3.1862 3.1862 0.0000
Rb Co Cu Re
1 1 1 1
Cartesian
0.0000 0.0000 0.0000 Rb
3.1862 3.1862 3.1862 Co
4.7793 4.7793 4.7793 Cu
1.5931 1.5931 1.5931 Re
```

4.
Material: NdDy2Al3Ni3
Method: DFT, PBE-GGA
State: relaxed

The volume comes out at 166.1 Å³/cell.

Geometry as POSCAR:
```
NdDy2Al3Ni3
1.0
3.9839 0.0000 0.0000
0.0000 5.9807 3.4863
0.0000 -5.9807 3.4863
Nd Dy Al Ni
1 2 3 3
Cartesian
0.0000 0.0000 0.0000 Nd
0.0000 -2.4797 4.3463 Dy
0.0000 2.4797 4.3463 Dy
1.9919 -1.4010 2.1243 Al
1.9919 1.4010 2.1243 Al
1.9919 0.0000 4.5064 Al
0.0000 0.0000 2.9504 Ni
1.9919 -3.9300 2.8917 Ni
1.9919 3.9300 2.8917 Ni
```

Respective E_tot values: -38.7; -59.2; -16.9; -47.1 eV per formula unit.